RbPrMnF6: relaxed, GGA+U.

Cell lengths 7.9497, 7.5158, 7.6727 Å; angles 119.33, 121.20, 90.00 degrees
Last column: nearest neighbours and their distance in Å.
Positions (direct):
Rb: 0.8419 0.5919 0.6837  9 F 2.99-3.23
F: 0.4379 0.6146 0.2673  1 Mn 2.12
F: 0.3990 0.1490 0.7980  2 Mn 2.17
F: 0.6010 0.8510 0.2020  2 Mn 2.17
Pr: 0.5000 0.0000 0.5000  8 F 2.35-2.55
F: 0.1706 0.8473 0.7327  1 Mn 2.12
F: 0.4379 0.1527 0.2673  1 Mn 2.12
F: 0.5621 0.3854 0.7327  1 Mn 2.12
Mn: 0.5000 0.0000 0.0000  6 F 2.12-2.17
Pr: 0.0000 0.0000 0.5000  8 F 2.35-2.55
Mn: 0.5000 0.5000 0.0000  6 F 2.12-2.17
Rb: 0.1581 0.4081 0.3163  9 F 2.99-3.23
F: 0.5621 0.8473 0.7327  1 Mn 2.12
F: 0.8665 0.1165 0.7330  2 Pr 2.35
F: 0.8294 0.1527 0.2673  1 Mn 2.12
F: 0.8294 0.6146 0.2673  1 Mn 2.12
F: 0.1706 0.3854 0.7327  1 Mn 2.12
F: 0.1335 0.8835 0.2670  2 Pr 2.35

Output
VASP energy: -6.002 eV per atom